No. 1
Entry from Alexandria: a geometry-optimized KRb2TaRe structure (GGA-PBE).

The structure in extended XYZ format:
```
5
Lattice="7.0770 0.0000 0.0000 0.0000 4.6708 0.0000 0.0000 0.0000 7.0770" Properties=species:S:1:pos:R:3 pbc="T T T"
Re 0.0000 2.3354 0.0000
K 3.5385 2.3354 3.5385
Rb 0.0000 0.0000 3.5385
Rb 3.5385 0.0000 0.0000
Ta 0.0000 0.0000 0.0000
```

Summary:
Formation energy from the elements ... 7.1 eV/f.u.
Calculated volume ... 234 Å³/cell
Density ... 4.1 Mg/m³
Uncorrected energy ... -4.04 eV/atom

No. 2
Entry from Alexandria: a geometry-optimized CuRhCl2 structure (GGA-PBE).

The structure in extended XYZ format:
```
4
Lattice="-2.5767 -1.8498 -0.3050 3.2566 -3.8976 -3.8729 1.0734 -1.9711 2.8862" Properties=species:S:1:pos:R:3 pbc="T T T"
Rh 2.1650 -2.9343 -0.4934
Cu -0.7517 -1.9105 1.2906
Cl 0.0000 0.0000 0.0000
Cl 0.3399 -2.8737 -2.0890
```

Summary:
Offset from the most stable computed form ... 366 meV/atom
Calculated volume ... 74 Å³/cell
Density ... 5.3 Mg/m³
Energy relative to the elements, uncorrected ... 0.19 eV/atom
Uncorrected energy ... -3.60 eV/atom

No. 3
Entry from Alexandria: a geometry-optimized Ca2PaTiP4 structure (GGA-PBE).

The structure in extended XYZ format:
```
8
Lattice="-3.6238 1.3502 0.6782 1.0253 -0.5549 6.5834 1.9830 6.3460 -2.0386" Properties=species:S:1:pos:R:3 pbc="T T T"
Ca -0.8204 3.8481 -0.6802
Ca 1.5041 2.8955 2.2724
Pa 0.0000 0.0000 0.0000
Ti -1.2992 0.3976 3.6308
P -1.1023 1.9588 1.5753
P 0.4867 5.1825 3.6477
P 1.8346 4.8219 0.2030
P 1.1737 0.9692 4.3418
```

Summary:
Formation energy from the elements ... -9.2 eV/f.u.
Calculated volume ... 173 Å³/cell
Density ... 4.6 Mg/m³
Uncorrected energy ... -6.53 eV/atom

No. 4
Entry from Alexandria: a geometry-optimized Dy3CdO structure (GGA-PBE).

The structure in extended XYZ format:
```
5
Lattice="4.7866 0.0000 0.0000 0.0000 4.7866 0.0000 0.0000 0.0000 4.7866" Properties=species:S:1:pos:R:3 pbc="T T T"
Cd 2.3933 2.3933 2.3933
O 0.0000 0.0000 0.0000
Dy 0.0000 2.3933 0.0000
Dy 0.0000 0.0000 2.3933
Dy 2.3933 0.0000 0.0000
```

Summary:
Calculated volume ... 110 Å³/cell
Density ... 9.3 Mg/m³
Energy relative to the elements, uncorrected ... -1.32 eV/atom
Uncorrected energy ... -5.26 eV/atom